Record 1
Compound: LaTcPI2
Source: Alexandria via LeMat-Bulk
Functional: GGA-PBE
Structure: relaxed

Output
- Calculated density: 5.75 Mg/m³
- Energy: -4.406 eV per atom
- E_form (uncorrected): 354 meV per atom
- Crystal system: tetragonal
- DOS(E_F): 0.9925 states/eV per atom

The structure in POSCAR format:
```
LaTcPI2
1.0
5.1845 0.0000 0.0000
0.0000 5.1845 0.0000
0.0000 0.0000 5.6008
La Tc P I
1 1 1 2
direct
0.0000 0.0000 0.0000
0.0000 0.0000 0.5000
0.5000 0.5000 0.0000
0.0000 0.5000 0.5000
0.5000 0.0000 0.5000
```

=====

Record 2
Compound: La8TeP3I4
Source: Alexandria via LeMat-Bulk
Functional: GGA-PBE
Structure: relaxed

Output
- Calculated density: 5.89 Mg/m³
- Energy: -5.475 eV per atom
- E_form (uncorrected): -1413 meV per atom
- Crystal system: trigonal
- DOS(E_F): 0.5129 states/eV per atom

The structure in POSCAR format:
```
La8TeP3I4
1.0
4.3958 2.5379 7.7424
-4.3958 2.5379 7.7424
0.0000 -5.0758 7.7424
La Te P I
8 1 3 4
direct
0.2078 0.7460 0.7460
0.2308 0.2308 0.2308
0.2540 0.2540 0.7922
0.2540 0.7922 0.2540
0.7460 0.2078 0.7460
0.7460 0.7460 0.2078
0.7692 0.7692 0.7692
0.7922 0.2540 0.2540
0.5000 0.5000 0.5000
0.0000 0.0000 0.5000
0.0000 0.5000 0.0000
0.5000 0.0000 0.0000
0.0000 0.0000 0.0000
0.0000 0.5000 0.5000
0.5000 0.0000 0.5000
0.5000 0.5000 0.0000
```

=====

Record 3
Compound: La4Te2PI
Source: Alexandria via LeMat-Bulk
Functional: GGA-PBE
Structure: relaxed

Output
- Calculated density: 6.19 Mg/m³
- Energy: -5.595 eV per atom
- E_form (uncorrected): -1476 meV per atom
- Crystal system: monoclinic
- DOS(E_F): 0.5118 states/eV per atom

The structure in POSCAR format:
```
La4Te2PI
1.0
7.7876 0.0000 0.0000
0.0000 4.4424 0.0000
-2.5443 0.0000 7.5144
La Te P I
4 2 1 1
direct
0.2211 0.0000 0.2151
0.2368 0.5000 0.7773
0.7632 0.5000 0.2227
0.7789 0.0000 0.7849
0.5000 0.0000 0.0000
0.5000 0.5000 0.5000
0.0000 0.5000 0.0000
0.0000 0.0000 0.5000
```

=====

Record 4
Compound: La6Te3P2I
Source: Alexandria via LeMat-Bulk
Functional: GGA-PBE
Structure: relaxed

Output
- Calculated density: 6.11 Mg/m³
- Energy: -5.824 eV per atom
- E_form (uncorrected): -1544 meV per atom
- Crystal system: monoclinic
- DOS(E_F): 0.5295 states/eV per atom

The structure in POSCAR format:
```
La6Te3P2I
1.0
9.7771 -2.2082 0.0000
9.7771 2.2082 0.0000
-2.1174 0.0000 8.8434
La Te P I
6 3 2 1
direct
0.0165 0.0165 0.2646
0.3249 0.3249 0.4349
0.3262 0.3262 0.8795
0.6738 0.6738 0.1205
0.6751 0.6751 0.5651
0.9835 0.9835 0.7354
0.1591 0.1591 0.8350
0.5000 0.5000 0.5000
0.8409 0.8409 0.1650
0.1700 0.1700 0.3375
0.8300 0.8300 0.6625
0.5000 0.5000 0.0000
```

=====

Record 5
Compound: La8TlP3I4
Source: Alexandria via LeMat-Bulk
Functional: GGA-PBE
Structure: relaxed

Output
- Calculated density: 6.09 Mg/m³
- Energy: -5.264 eV per atom
- E_form (uncorrected): -1250 meV per atom
- Crystal system: trigonal
- DOS(E_F): 0.6006 states/eV per atom

The structure in POSCAR format:
```
La8TlP3I4
1.0
4.3856 2.5320 7.8473
-4.3856 2.5320 7.8473
0.0000 -5.0641 7.8473
La Tl P I
8 1 3 4
direct
0.2133 0.7445 0.7445
0.2305 0.2305 0.2305
0.2555 0.2555 0.7867
0.2555 0.7867 0.2555
0.7445 0.2133 0.7445
0.7445 0.7445 0.2133
0.7695 0.7695 0.7695
0.7867 0.2555 0.2555
0.5000 0.5000 0.5000
0.0000 0.0000 0.5000
0.0000 0.5000 0.0000
0.5000 0.0000 0.0000
0.0000 0.0000 0.0000
0.0000 0.5000 0.5000
0.5000 0.0000 0.5000
0.5000 0.5000 0.0000
```

=====

Record 6
Compound: La2TmP2I2
Source: Alexandria via LeMat-Bulk
Functional: GGA-PBE
Structure: relaxed

Output
- Calculated density: 5.54 Mg/m³
- Energy: -5.340 eV per atom
- E_form (uncorrected): -1305 meV per atom
- Crystal system: tetragonal
- DOS(E_F): 0.3827 states/eV per atom

The structure in POSCAR format:
```
La2TmP2I2
1.0
-2.6059 2.6059 8.4147
2.6059 -2.6059 8.4147
2.6059 2.6059 -8.4147
La Tm P I
2 1 2 2
direct
0.0981 0.0981 0.0000
0.9019 0.9019 0.0000
0.5000 0.5000 0.0000
0.0000 0.5000 0.5000
0.5000 0.0000 0.5000
0.3124 0.3124 0.0000
0.6876 0.6876 0.0000
```